## PuCd2Sb (PBE)

Data for PuCd2Sb after structural relaxation.

As for the crystal system: tetragonal. For the energy above the most stable polymorph in this dataset, the calculation gives 0 meV per atom.

The structure belongs to space group P4/mmm (No. 123); the cell edges are 4.425, 4.425 and 5.138 Å and the angles 90.00°, 90.00° and 90.00°. The inequivalent atoms are Pu at (0.000, 0.000, 0.000), Cd at (0.000, 0.500, 0.500) and Sb at (0.500, 0.500, 0.000).



## LaDy3Hg6 (PBE)

Data for LaDy3Hg6 after structural relaxation.

The calculation puts the energy relative to the elements at -0.441 eV/atom. As for the crystal system: monoclinic.

The structure belongs to space group P2_1/m (No. 11); the cell edges are 9.278, 5.216 and 11.311 Å and the angles 90.00°, 107.27° and 90.00°. The inequivalent atoms are La at (0.068, 0.250, 0.382), Dy at (0.230, 0.250, 0.002), Dy at (0.352, 0.750, 0.808), Dy at (0.492, 0.250, 0.613), Hg at (0.063, 0.750, 0.913), Hg at (0.144, 0.750, 0.208), Hg at (0.180, 0.250, 0.692), Hg at (0.259, 0.750, 0.525), Hg at (0.362, 0.250, 0.287) and Hg at (0.464, 0.750, 0.095).



## Sc4B6Ir7 (PBE)

Data for Sc4B6Ir7 after structural relaxation.

The calculation puts the energy relative to the elements at -0.503 eV/atom. As for the crystal system: cubic.

The structure belongs to space group Im-3m (No. 229); the cell edges are 7.626, 7.626 and 7.626 Å and the angles 90.00°, 90.00° and 90.00°. The inequivalent atoms are Sc at (0.250, 0.250, 0.250), B at (0.000, 0.000, 0.324), Ir at (0.000, 0.000, 0.000) and Ir at (0.000, 0.250, 0.500).



| no. | size of the total moment (μB per formula unit) |
| --- | --- |
| 1 | 5.5 |
| 2 | 0.0 |
| 3 | 0.0 |